The following is a DFT calculation (GGA-PBE) of crystalline Os2PtW at its relaxed geometry.

Calculated values
Distance to the lowest polymorph of the same formula (kcal/mol of atoms): 2.74
Formation energy from the elements (eV per formula unit): 0.2
Crystal system: monoclinic
Uncorrected energy (eV/f.u.): -41.3
M_tot (μB/f.u.): 0.00

The structure in POSCAR format:
```
Os2PtW
1.0
4.8108 0.0015 -0.0004
4.0103 2.6572 -0.0004
0.8111 0.2445 4.7172
Os Pt W
2 1 1
Direct
0.9976 0.9976 0.0156
0.2566 0.2566 0.2282
0.4994 0.4994 0.5036
0.7464 0.7464 0.7526
```


The following is a DFT calculation (GGA-PBE) of crystalline OsPtW2 at its relaxed geometry.

Calculated values
Distance to the lowest polymorph of the same formula (kcal/mol of atoms): 2.95
Formation energy from the elements (eV per formula unit): -0.1
Crystal system: tetragonal
Uncorrected energy (eV/f.u.): -43.2
M_tot (μB/f.u.): 0.00

The structure in POSCAR format:
```
OsPtW2
1.0
4.8279 -0.0065 -0.0009
1.5801 4.5620 0.0009
-3.2034 -2.2785 2.8027
Os Pt W
1 1 2
Direct
0.5000 0.5000 0.0000
0.2500 0.7500 0.5000
0.0000 0.0000 0.0000
0.7500 0.2500 0.5000
```


The following is a DFT calculation (GGA-PBE) of crystalline Os2PtW at its relaxed geometry.

Calculated values
Distance to the lowest polymorph of the same formula (kcal/mol of atoms): 2.54
Formation energy from the elements (eV per formula unit): 0.1
Crystal system: monoclinic
Uncorrected energy (eV/f.u.): -41.3
M_tot (μB/f.u.): 0.00

The structure in POSCAR format:
```
Os2PtW
1.0
4.7951 -0.0035 0.0104
3.9993 2.6455 0.0104
0.8214 0.2468 4.7500
Os Pt W
2 1 1
Direct
0.0066 0.0066 0.9875
0.4934 0.4934 0.5125
0.2500 0.2500 0.2500
0.7500 0.7500 0.7500
```


The following is a DFT calculation (GGA-PBE) of crystalline Os2PtW at its relaxed geometry.

Calculated values
Distance to the lowest polymorph of the same formula (kcal/mol of atoms): 2.67
Formation energy from the elements (eV per formula unit): 0.2
Crystal system: monoclinic
Uncorrected energy (eV/f.u.): -41.3
M_tot (μB/f.u.): 0.00

The structure in POSCAR format:
```
Os2PtW
1.0
2.7779 0.0000 0.0000
0.0000 4.8104 0.0070
0.0000 3.1700 4.4890
Os Pt W
2 1 1
Direct
0.0000 0.0000 0.0000
0.5000 0.5000 0.0000
0.5000 0.5000 0.5000
0.0000 0.0000 0.5000
```


The following is a DFT calculation (GGA-PBE) of crystalline Os4PtW at its relaxed geometry.

Calculated values
Formation energy from the elements (eV per formula unit): 3.4
Crystal system: cubic
Uncorrected energy (eV/f.u.): -60.5
M_tot (μB/f.u.): 0.00

The structure in POSCAR format:
```
Os4PtW
1.0
-0.5408 -4.2863 2.7258
-1.9713 0.1990 4.7084
-4.6623 -1.8842 0.8987
Os Pt W
4 1 1
Direct
0.8738 0.3754 0.3754
0.3754 0.3754 0.8738
0.3754 0.8738 0.3754
0.3754 0.3754 0.3754
0.7500 0.7500 0.7500
0.0000 0.0000 0.0000
```


The following is a DFT calculation (GGA-PBE) of crystalline OsPt2W at its relaxed geometry.

Calculated values
Distance to the lowest polymorph of the same formula (kcal/mol of atoms): 3.63
Formation energy from the elements (eV per formula unit): 0.2
Crystal system: trigonal
Uncorrected energy (eV/f.u.): -36.1
M_tot (μB/f.u.): 0.00

The structure in POSCAR format:
```
OsPt2W
1.0
9.3428 0.0149 0.0087
8.9281 2.7527 0.0087
8.9281 1.3524 2.3976
Os Pt W
1 2 1
Direct
0.7500 0.7500 0.7500
0.9997 0.9997 0.9997
0.5003 0.5003 0.5003
0.2500 0.2500 0.2500
```


The following is a DFT calculation (GGA-PBE) of crystalline OsPt2W at its relaxed geometry.

Calculated values
Distance to the lowest polymorph of the same formula (kcal/mol of atoms): 2.41
Formation energy from the elements (eV per formula unit): 0.0
Crystal system: monoclinic
Uncorrected energy (eV/f.u.): -36.3
M_tot (μB/f.u.): 0.00

The structure in POSCAR format:
```
OsPt2W
1.0
4.8434 -0.0008 -0.0012
4.0484 2.6588 -0.0012
0.8081 0.2416 4.7471
Os Pt W
1 2 1
Direct
0.2500 0.2500 0.2500
0.9986 0.9986 0.0013
0.5014 0.5014 0.4987
0.7500 0.7500 0.7500
```


The following is a DFT calculation (GGA-PBE) of crystalline OsPt2W at its relaxed geometry.

Calculated values
Distance to the lowest polymorph of the same formula (kcal/mol of atoms): 11.79
Formation energy from the elements (eV per formula unit): 1.6
Crystal system: cubic
Uncorrected energy (eV/f.u.): -34.7
M_tot (μB/f.u.): 0.00

The structure in POSCAR format:
```
OsPt2W
1.0
0.0000 3.1523 3.1523
3.1523 0.0000 3.1523
3.1523 3.1523 0.0000
Os W Pt
1 1 2
Direct
0.5000 0.5000 0.5000
0.0000 0.0000 0.0000
0.2500 0.2500 0.2500
0.7500 0.7500 0.7500
```